# 1
Material: PuHfSc4
Method: DFT, PBE
State: relaxed

```
12
Lattice="5.159 0.000 0.000 0.000 9.753 0.000 0.000 0.000 5.685" Properties=species:S:1:pos:R:3 pbc="T T T"
Pu 1.290 2.438 0.548
Pu 3.869 7.315 5.137
Hf 1.290 7.315 3.410
Hf 3.869 2.438 2.275
Sc 1.290 0.844 3.321
Sc 1.290 4.033 3.321
Sc 1.290 5.732 0.500
Sc 1.290 8.897 0.500
Sc 3.869 0.856 5.184
Sc 3.869 4.021 5.184
Sc 3.869 5.720 2.364
Sc 3.869 8.909 2.364
```

Values from the calculation:
**Calculated volume**: 286 Å³/cell
**Energy above the most stable polymorph in this dataset**: 0.0000 eV per atom
**VASP energy**: -8.211 eV per atom



# 2
Material: CeZnAs2
Method: DFT, PBE
State: relaxed

```
4
Lattice="2.238 1.292 7.417 -2.238 1.292 7.417 0.000 -2.585 7.417" Properties=species:S:1:pos:R:3 pbc="T T T"
Ce 0.000 0.000 0.000
Zn 0.000 0.000 11.125
As 0.000 0.000 8.802
As 0.000 0.000 13.449
```

Values from the calculation:
**Calculated volume**: 129 Å³/cell
**VASP energy**: -4.620 eV per atom



# 3
Material: Fe2NiPt3
Method: DFT, PBE
State: relaxed

```
6
Lattice="2.717 0.000 0.000 0.000 2.717 0.000 0.000 0.000 11.251" Properties=species:S:1:pos:R:3 pbc="T T T"
Fe 0.000 0.000 1.896
Fe 0.000 0.000 9.355
Ni 0.000 0.000 5.625
Pt 1.359 1.359 0.000
Pt 1.359 1.359 3.766
Pt 1.359 1.359 7.485
```

Values from the calculation:
**Calculated volume**: 83 Å³/cell
**Energy above the most stable polymorph in this dataset**: 0.0190 eV per atom
**VASP energy**: -7.012 eV per atom



# 4
Material: NbHOs2Pd
Method: DFT, PBE
State: relaxed

```
5
Lattice="4.013 0.000 0.000 0.000 4.013 0.000 0.000 0.000 3.922" Properties=species:S:1:pos:R:3 pbc="T T T"
Nb 0.000 0.000 0.000
H 2.007 2.007 1.961
Os 0.000 2.007 1.961
Os 2.007 0.000 1.961
Pd 2.007 2.007 0.000
```

Values from the calculation:
**Calculated volume**: 63 Å³/cell
**Energy above the most stable polymorph in this dataset**: 0.0000 eV per atom
**VASP energy**: -8.243 eV per atom



# 5
Material: K2CuOsO4
Method: DFT, PBE
State: relaxed

```
8
Lattice="-3.043 3.043 3.493 3.043 -3.043 3.493 3.043 3.043 -3.493" Properties=species:S:1:pos:R:3 pbc="T T T"
K 0.000 0.000 0.000
K 0.000 3.043 1.746
Cu 3.043 0.000 1.746
Os 0.000 0.000 3.493
O 1.427 2.264 -0.539
O 3.822 1.427 0.539
O 1.616 0.779 2.954
O -0.779 1.616 4.032
```

Values from the calculation:
**Calculated volume**: 129 Å³/cell
**VASP energy**: -5.710 eV per atom



# 6
Material: K2TiBeW
Method: DFT, PBE
State: relaxed

```
5
Lattice="6.181 0.000 0.000 0.000 6.181 0.000 0.000 0.000 4.313" Properties=species:S:1:pos:R:3 pbc="T T T"
K 0.000 3.091 0.000
K 3.091 0.000 0.000
Ti 0.000 0.000 0.000
Be 0.000 0.000 2.156
W 3.091 3.091 2.156
```

Values from the calculation:
**Calculated volume**: 165 Å³/cell
**VASP energy**: -2.683 eV per atom



# 7
Material: Pu2PaGa6
Method: DFT, PBE
State: relaxed

```
9
Lattice="-2.202 3.476 6.516 2.202 -3.476 6.516 2.202 3.476 -6.516" Properties=species:S:1:pos:R:3 pbc="T T T"
Pu 0.000 0.000 1.564
Pu 0.000 0.000 11.468
Pa 0.000 3.476 0.000
Ga 2.202 2.130 -2.413
Ga 2.202 1.342 0.000
Ga 2.202 2.130 2.413
Ga 0.000 1.346 4.103
Ga 0.000 2.134 6.516
Ga 0.000 1.346 8.929
```

Values from the calculation:
**Calculated volume**: 200 Å³/cell
**Energy above the most stable polymorph in this dataset**: 0.2278 eV per atom
**VASP energy**: -6.395 eV per atom



# 8
Material: RbPdN2F
Method: DFT, PBE
State: relaxed

```
5
Lattice="3.841 0.000 0.000 0.000 3.841 0.000 0.000 0.000 6.350" Properties=species:S:1:pos:R:3 pbc="T T T"
Rb 0.000 0.000 0.000
Pd 1.920 1.920 3.175
N 0.000 1.920 3.175
N 1.920 0.000 3.175
F 1.920 1.920 0.000
```

Values from the calculation:
**Calculated volume**: 94 Å³/cell
**Energy above the most stable polymorph in this dataset**: 0.0000 eV per atom
**VASP energy**: -4.637 eV per atom



# 9
Material: AcCe2HfO6
Method: DFT, PBE
State: relaxed

```
10
Lattice="5.560 0.000 0.000 0.000 5.560 0.000 0.000 0.000 5.721" Properties=species:S:1:pos:R:3 pbc="T T T"
Ac 0.000 0.000 0.000
Ce 0.000 2.780 2.634
Ce 2.780 0.000 2.634
Hf 2.780 2.780 0.390
O 0.000 0.000 3.380
O 1.473 1.473 1.299
O 1.473 4.087 1.299
O 2.780 2.780 4.134
O 4.087 1.473 1.299
O 4.087 4.087 1.299
```

Values from the calculation:
**Calculated volume**: 177 Å³/cell
**VASP energy**: -8.642 eV per atom



# 10
Material: AlSb2F
Method: DFT, PBE
State: relaxed

```
4
Lattice="0.000 3.394 3.394 3.394 0.000 3.394 3.394 3.394 0.000" Properties=species:S:1:pos:R:3 pbc="T T T"
Al 0.000 0.000 0.000
Sb 1.697 1.697 1.697
Sb 5.091 5.091 5.091
F 3.394 3.394 3.394
```

Values from the calculation:
**Calculated volume**: 78 Å³/cell
**Energy above the most stable polymorph in this dataset**: 0.0000 eV per atom
**VASP energy**: -3.976 eV per atom



# 11
Material: GaTcSn2
Method: DFT, PBE
State: relaxed

```
4
Lattice="1.513 0.873 11.180 -1.513 0.873 11.180 0.000 -1.747 11.180" Properties=species:S:1:pos:R:3 pbc="T T T"
Ga 0.000 0.000 0.000
Tc 0.000 0.000 16.770
Sn 0.000 0.000 14.030
Sn 0.000 0.000 19.510
```

Values from the calculation:
**Calculated volume**: 89 Å³/cell
**VASP energy**: -4.739 eV per atom



# 12
Material: ZrTa2Ag
Method: DFT, PBE
State: relaxed

```
4
Lattice="3.441 0.000 0.000 0.000 4.614 0.000 0.000 0.000 4.788" Properties=species:S:1:pos:R:3 pbc="T T T"
Zr 0.000 0.000 0.000
Ta 0.000 2.307 2.394
Ta 1.720 0.000 2.394
Ag 1.720 2.307 0.000
```

Values from the calculation:
**Calculated volume**: 76 Å³/cell
**Energy above the most stable polymorph in this dataset**: 0.1065 eV per atom
**VASP energy**: -8.572 eV per atom



> Among the records above, which one has the highest calculated volume?

PuHfSc4



> Which value of VASP energy does entry 1 give?

-8.211 eV per atom



> calculated volume of number 2 (CeZnAs2)?

129 Å³/cell



> Which of these has the lowest calculated volume?

NbHOs2Pd